Entry 1:
Below is a geometry-optimized TbPuHfO6 structure, with properties calculated at the PBE-GGA level.

The space group is No. 163. Its magnetic moment is 6.00 Bohr magnetons per cell. The value obtained for the total energy is -0.3566 hartree per atom. The calculation puts the formation energy without anion corrections at -28.7 eV per formula unit.

POSCAR file:
```
TbPuHfO6
1.0
5.584 0.000 0.000
-2.792 4.836 0.000
0.000 0.000 9.603
Tb Pu Hf O
2 2 2 12
direct
0.000 0.000 0.000
0.000 0.000 0.500
0.333 0.667 0.250
0.667 0.333 0.750
0.333 0.667 0.750
0.667 0.333 0.250
0.006 0.353 0.636
0.006 0.654 0.864
0.346 0.353 0.864
0.346 0.994 0.636
0.353 0.006 0.136
0.353 0.346 0.364
0.647 0.654 0.636
0.647 0.994 0.864
0.654 0.006 0.364
0.654 0.647 0.136
0.994 0.346 0.136
0.994 0.647 0.364
```

Entry 2:
Below is a geometry-optimized PuHfTe2O structure, with properties calculated at the PBE-GGA level.

The space group is No. 129. Its magnetic moment is 9.29 Bohr magnetons per cell. The value obtained for the total energy is -0.3184 hartree per atom. The calculation puts the formation energy without anion corrections at -7.8 eV per formula unit.

POSCAR file:
```
PuHfTe2O
1.0
3.933 0.000 0.000
0.000 3.933 0.000
0.000 0.000 14.420
Pu Hf Te O
2 2 4 2
direct
0.250 0.250 0.084
0.750 0.750 0.916
0.250 0.250 0.571
0.750 0.750 0.429
0.250 0.250 0.366
0.250 0.250 0.793
0.750 0.750 0.207
0.750 0.750 0.634
0.250 0.750 0.000
0.750 0.250 0.000
```

Entry 3:
Below is a geometry-optimized PuHfTiO6 structure, with properties calculated at the PBE-GGA level.

The space group is No. 163. Its magnetic moment is 8.00 Bohr magnetons per cell. The value obtained for the total energy is -0.3681 hartree per atom. The calculation puts the formation energy without anion corrections at -28.2 eV per formula unit.

POSCAR file:
```
PuHfTiO6
1.0
5.274 0.000 0.000
-2.637 4.567 0.000
0.000 0.000 9.605
Pu Hf Ti O
2 2 2 12
direct
0.000 0.000 0.000
0.000 0.000 0.500
0.333 0.667 0.250
0.667 0.333 0.750
0.333 0.667 0.750
0.667 0.333 0.250
0.014 0.356 0.637
0.014 0.658 0.863
0.342 0.356 0.863
0.342 0.986 0.637
0.356 0.014 0.137
0.356 0.342 0.363
0.644 0.658 0.637
0.644 0.986 0.863
0.658 0.014 0.363
0.658 0.644 0.137
0.986 0.342 0.137
0.986 0.644 0.363
```

Entry 4:
Below is a geometry-optimized PuHfTl2O6 structure, with properties calculated at the PBE-GGA level.

The space group is No. 225. Its magnetic moment is 2.02 Bohr magnetons per cell. The value obtained for the total energy is -0.2976 hartree per atom. The calculation puts the formation energy without anion corrections at -22.2 eV per formula unit.

POSCAR file:
```
PuHfTl2O6
1.0
0.000 4.225 4.225
4.225 0.000 4.225
4.225 4.225 0.000
Pu Hf Tl O
1 1 2 6
direct
0.000 0.000 0.000
0.500 0.500 0.500
0.250 0.250 0.250
0.750 0.750 0.750
0.250 0.250 0.750
0.250 0.750 0.250
0.250 0.750 0.750
0.750 0.250 0.250
0.750 0.250 0.750
0.750 0.750 0.250
```

Entry 5:
Below is a geometry-optimized TmPuHfO6 structure, with properties calculated at the PBE-GGA level.

The space group is No. 163. Its magnetic moment is 6.00 Bohr magnetons per cell. The value obtained for the total energy is -0.3561 hartree per atom. The calculation puts the formation energy without anion corrections at -28.7 eV per formula unit.

POSCAR file:
```
TmPuHfO6
1.0
5.560 0.000 0.000
-2.780 4.815 0.000
0.000 0.000 9.402
Tm Pu Hf O
2 2 2 12
direct
0.000 0.000 0.000
0.000 0.000 0.500
0.333 0.667 0.250
0.667 0.333 0.750
0.333 0.667 0.750
0.667 0.333 0.250
0.007 0.348 0.634
0.007 0.658 0.866
0.342 0.348 0.866
0.342 0.993 0.634
0.348 0.007 0.134
0.348 0.342 0.366
0.652 0.658 0.634
0.652 0.993 0.866
0.658 0.007 0.366
0.658 0.652 0.134
0.993 0.342 0.134
0.993 0.652 0.366
```

Entry 6:
Below is a geometry-optimized PuHfUO6 structure, with properties calculated at the PBE-GGA level.

The space group is No. 163. Its magnetic moment is 12.00 Bohr magnetons per cell. The value obtained for the total energy is -0.3849 hartree per atom. The calculation puts the formation energy without anion corrections at -29.0 eV per formula unit.

POSCAR file:
```
PuHfUO6
1.0
5.653 0.000 0.000
-2.826 4.895 0.000
0.000 0.000 9.675
Pu Hf U O
2 2 2 12
direct
0.000 0.000 0.000
0.000 0.000 0.500
0.333 0.667 0.250
0.667 0.333 0.750
0.333 0.667 0.750
0.667 0.333 0.250
0.009 0.357 0.137
0.009 0.653 0.363
0.347 0.357 0.363
0.347 0.991 0.137
0.357 0.009 0.637
0.357 0.347 0.863
0.643 0.653 0.137
0.643 0.991 0.363
0.653 0.009 0.863
0.653 0.643 0.637
0.991 0.347 0.637
0.991 0.643 0.863
```

Entry 7:
Below is a geometry-optimized PuHfZnO6 structure, with properties calculated at the PBE-GGA level.

The space group is No. 163. Its magnetic moment is 4.00 Bohr magnetons per cell. The value obtained for the total energy is -0.3151 hartree per atom. The calculation puts the formation energy without anion corrections at -21.9 eV per formula unit.

POSCAR file:
```
PuHfZnO6
1.0
5.489 0.000 0.000
-2.744 4.754 0.000
0.000 0.000 8.956
Pu Hf Zn O
2 2 2 12
direct
0.333 0.667 0.250
0.667 0.333 0.750
0.333 0.667 0.750
0.667 0.333 0.250
0.000 0.000 0.000
0.000 0.000 0.500
0.002 0.346 0.132
0.002 0.656 0.368
0.344 0.346 0.368
0.344 0.998 0.132
0.346 0.002 0.632
0.346 0.344 0.868
0.654 0.656 0.132
0.654 0.998 0.368
0.656 0.002 0.868
0.656 0.654 0.632
0.998 0.344 0.632
0.998 0.654 0.868
```

Entry 8:
Below is a geometry-optimized PuHfZrO6 structure, with properties calculated at the PBE-GGA level.

The space group is No. 163. Its magnetic moment is 8.00 Bohr magnetons per cell. The value obtained for the total energy is -0.3731 hartree per atom. The calculation puts the formation energy without anion corrections at -28.8 eV per formula unit.

POSCAR file:
```
PuHfZrO6
1.0
5.470 0.000 0.000
-2.735 4.738 0.000
0.000 0.000 9.546
Pu Hf Zr O
2 2 2 12
direct
0.000 0.000 0.000
0.000 0.000 0.500
0.333 0.667 0.250
0.667 0.333 0.750
0.333 0.667 0.750
0.667 0.333 0.250
0.005 0.346 0.134
0.005 0.659 0.366
0.341 0.346 0.366
0.341 0.995 0.134
0.346 0.005 0.634
0.346 0.341 0.866
0.654 0.659 0.134
0.654 0.995 0.366
0.659 0.005 0.866
0.659 0.654 0.634
0.995 0.341 0.634
0.995 0.654 0.866
```